(1)
CsRb2AgHg | GGA-PBE | relaxed

Calculated values
Formation energy in meV/atom: 67
Space group: No. 123
Mass density in g/cm3: 3.05

Cell: 6.842 6.842 7.121 Å, 90.00 90.00 90.00°
Positions (direct):
Rb 0.000 0.500 0.000
Rb 0.500 0.000 0.000
Cs 0.000 0.000 0.500
Hg 0.500 0.500 0.500
Ag 0.000 0.000 0.000

(2)
Cs4Rb2AgHg2 | GGA-PBE | relaxed

Calculated values
Formation energy in meV/atom: -84
Space group: No. 2
Mass density in g/cm3: 3.28

Cell: 7.029 8.807 11.481 Å, 107.04 111.54 71.11°
Positions (direct):
Cs 0.943 0.816 0.654
Cs 0.057 0.184 0.346
Cs 0.592 0.795 0.098
Cs 0.408 0.205 0.902
Rb 0.678 0.416 0.700
Hg 0.056 0.646 0.962
Ag 0.000 0.000 0.000
Hg 0.944 0.354 0.038
Rb 0.322 0.584 0.300

(3)
Cs2Rb4AgHg2 | GGA-PBE | relaxed

Calculated values
Formation energy in meV/atom: -84
Space group: No. 2
Mass density in g/cm3: 3.34

Cell: 6.424 9.103 10.969 Å, 109.32 107.07 69.32°
Positions (direct):
Rb 0.103 0.165 0.371
Ag 0.000 0.000 0.000
Rb 0.897 0.835 0.629
Hg 0.866 0.350 0.079
Hg 0.134 0.650 0.921
Rb 0.641 0.830 0.113
Cs 0.639 0.452 0.732
Rb 0.359 0.170 0.887
Cs 0.361 0.548 0.268

Question: The lowest mass density belongs to which entry?
Answer: CsRb2AgHg